Density functional theory data (PBE) for a geometry-optimized HfAsP2S structure.

E above lowest polymorph: 0.64 eV/f.u.
density of states at the Fermi level: 1.7 states/eV/cell
uncorrected formation energy: 0.53 eV/atom

Cell: 4.5845 4.5845 4.6733 Å, 90.00 90.00 90.00°
Last column: nearest neighbours and their distance in Å.
Space group P4/mmm (No. 123)
Asymmetric unit:
Hf 0.0000 0.0000 0.0000 [1 per cell]  4 S 3.24, 8 P 3.27
As 0.5000 0.5000 0.5000 [1 per cell]  4 P 2.29, 2 S 2.34
P 0.0000 0.5000 0.5000 [2 per cell]  2 As 2.29
S 0.5000 0.5000 0.0000 [1 per cell]  2 As 2.34

***

Density functional theory data (PBE) for a geometry-optimized Ce2Ga3Cu structure.

energy relative to the elements: -11.27 kcal/mol of atoms
E above lowest polymorph: 0.00 eV/f.u.
density of states at the Fermi level: 10.0 states/eV/cell

Cell: 3.6885 4.4427 7.6979 Å, 90.00 90.00 90.00°
Last column: nearest neighbours and their distance in Å.
Space group Pmm2 (No. 25)
Asymmetric unit:
Ce 0.0000 0.0000 0.0000 [1 per cell]  2 Cu 3.12, 10 Ga 3.16-3.23
Ce 0.0000 0.5000 0.4915 [1 per cell]  8 Ga 3.10-3.19, 4 Cu 3.15
Ga 0.5000 0.0000 0.6549 [1 per cell]  1 Cu 2.52, 2 Ga 2.60
Ga 0.5000 0.5000 0.1679 [1 per cell]  2 Cu 2.54, 1 Ga 2.60
Ga 0.5000 0.5000 0.8296 [1 per cell]  3 Ga 2.60
Cu 0.5000 0.0000 0.3269 [1 per cell]  3 Ga 2.52-2.54

***

Density functional theory data (PBE) for a geometry-optimized AlAgAu4 structure.

energy relative to the elements: -1.67 kcal/mol of atoms
E above lowest polymorph: 0.53 eV/f.u.
density of states at the Fermi level: 6.4 states/eV/cell

Cell: 6.6110 6.6110 11.1508 Å, 90.00 90.00 90.00°
Last column: nearest neighbours and their distance in Å.
Space group I4_1/amd (No. 141, origin choice 2)
Asymmetric unit:
Al 0.0000 0.2500 0.3750 [4 per cell]  8 Au 2.63
Ag 0.0000 0.2500 0.8750 [4 per cell]  8 Au 2.82
Au 0.2266 0.0000 0.5000 [16 per cell]  2 Al 2.63, 2 Au 2.80, 2 Ag 2.82

***

Density functional theory data (PBE) for a geometry-optimized TlSbPb2Au structure.

density of states at the Fermi level: 2.3 states/eV/cell
uncorrected formation energy: 0.24 eV/atom

Cell: 5.5945 5.5945 5.3759 Å, 90.00 90.00 90.00°
Last column: nearest neighbours and their distance in Å.
Space group P4/mmm (No. 123)
Asymmetric unit:
Tl 0.0000 0.0000 0.0000 [1 per cell]  2 Au 2.69
Sb 0.5000 0.5000 0.0000 [1 per cell]  8 Pb 3.88, 4 Tl 3.96
Pb 0.0000 0.5000 0.5000 [2 per cell]  2 Au 2.80
Au 0.0000 0.0000 0.5000 [1 per cell]  2 Tl 2.69, 4 Pb 2.80

***

- density of states at the Fermi level of number 1 (HfAsP2S)?
  1.7 states/eV/cell

***

- Which of these has the highest density of states at the Fermi level?
  Ce2Ga3Cu